The following is a DFT calculation (meta-GGA SCAN) of a PBEsol-optimized structure of CsMgOs3.

## Properties
DFT formation energy: 13.64 eV per formula unit
E above lowest polymorph: 0.0 meV per atom
Fermi-level density of states: 4.995 states/eV/cell
total DFT energy (no corrections): -48.96 eV/atom

abc: 4.736 4.736 4.736
angles: 90.00 90.00 90.00
Fractional positions:
Cs: 0.000 0.000 0.000
Mg: 0.500 0.500 0.500
Os: 0.000 0.500 0.500
Os: 0.500 0.000 0.500
Os: 0.500 0.500 0.000